(1)
The following is a GGA-PBE calculation of crystalline PaTcNi at its relaxed geometry, from Alexandria via LeMat-Bulk.

a b c (Å): 3.5956 3.5956 4.7653
angles (deg): 112.16 112.16 90.00
Atoms (fractional coordinates):
1 Pa 0.6529 0.6529 0.3057
2 Tc 0.3526 0.3526 0.7052
3 Ni 0.9945 0.9945 0.9891

Formation energy   -144.5 meV per atom
D(E_F)   1.50 states/eV per cell
Energy relative to the lowest polymorph listed for this composition   4.40 kcal/mol of atoms
E   -26.08 eV per cell

(2)
The following is a GGA-PBE calculation of crystalline YPd2Pb at its relaxed geometry, from Alexandria via LeMat-Bulk.

a b c (Å): 3.8145 4.6852 4.6852
angles (deg): 90.00 90.00 90.00
Atoms (fractional coordinates):
1 Pd 0.0000 0.5000 0.0000
2 Pd 0.0000 0.0000 0.5000
3 Y 0.5000 0.0000 0.0000
4 Pb 0.5000 0.5000 0.5000

Formation energy   -600.2 meV per atom
D(E_F)   2.88 states/eV per cell
E   -22.96 eV per cell

(3)
The following is a GGA-PBE calculation of crystalline CaCr2W at its relaxed geometry, from Alexandria via LeMat-Bulk.

a b c (Å): 4.5789 4.5789 4.5789
angles (deg): 60.00 60.00 60.00
Last column: magnetic moment on the atom in μB.
Atoms (fractional coordinates):
1 W 0.2500 0.2500 0.2500  0.82
2 Ca 0.5000 0.5000 0.5000  0.13
3 Cr 0.0000 0.0000 0.0000  -2.06
4 Cr 0.7500 0.7500 0.7500  3.13

Formation energy   950.2 meV per atom
D(E_F)   3.37 states/eV per cell
Energy relative to the lowest polymorph listed for this composition   9.40 kcal/mol of atoms
E   -30.40 eV per cell

(4)
The following is a GGA-PBE calculation of crystalline Sc5AgSn at its relaxed geometry, from Alexandria via LeMat-Bulk.

a b c (Å): 5.6602 5.6602 10.3800
angles (deg): 98.02 98.02 91.26
Atoms (fractional coordinates):
1 Ag 0.0000 0.0000 0.0000
2 Ag 0.0000 0.0000 0.5000
3 Sc 0.4807 0.7603 0.0299
4 Sc 0.9833 0.4292 0.8473
5 Sc 0.5708 0.0167 0.6527
6 Sc 0.1055 0.8945 0.7500
7 Sc 0.4292 0.9833 0.3473
8 Sc 0.8945 0.1055 0.2500
9 Sc 0.0167 0.5708 0.1527
10 Sc 0.5193 0.2397 0.9701
11 Sc 0.2397 0.5193 0.4701
12 Sc 0.7603 0.4807 0.5299
13 Sn 0.4694 0.5306 0.7500
14 Sn 0.5306 0.4694 0.2500

Formation energy   -132.2 meV per atom
D(E_F)   19.59 states/eV per cell
E   -78.87 eV per cell

(5)
The following is a GGA-PBE calculation of crystalline Pu3Tl2Au2 at its relaxed geometry, from Alexandria via LeMat-Bulk.

a b c (Å): 4.8341 3.2073 11.3646
angles (deg): 90.00 77.72 90.00
Last column: magnetic moment on the atom in μB.
Atoms (fractional coordinates):
1 Au 0.7151 0.5000 0.5697  0.02
2 Au 0.2849 0.5000 0.4303  0.02
3 Tl 0.5770 0.5000 0.8460  -0.03
4 Tl 0.4230 0.5000 0.1540  -0.03
5 Pu 0.1597 0.0000 0.6807  5.46
6 Pu 0.0000 0.0000 0.0000  5.53
7 Pu 0.8403 0.0000 0.3193  5.46

Formation energy   -234.3 meV per atom
D(E_F)   25.22 states/eV per cell
E   -55.92 eV per cell

(6)
The following is a GGA-PBE calculation of crystalline Pr2Ho3Tm8 at its relaxed geometry, from Alexandria via LeMat-Bulk.

a b c (Å): 5.4600 7.5550 11.0627
angles (deg): 109.98 90.00 90.00
Atoms (fractional coordinates):
1 Pr 0.5002 0.7603 0.5202
2 Pr 0.4998 0.2397 0.4798
3 Tm 0.5001 0.8209 0.2135
4 Tm 0.0002 0.6595 0.3186
5 Tm 0.0000 0.8736 0.7473
6 Tm 0.0000 0.1264 0.2527
7 Tm 0.4999 0.6070 0.7865
8 Tm 0.9998 0.3405 0.6814
9 Tm 0.4999 0.1791 0.7865
10 Tm 0.5001 0.3930 0.2135
11 Ho 0.0000 0.7129 0.9999
12 Ho 0.0000 0.2871 0.0001
13 Ho 0.5000 0.0000 0.0000

Formation energy   248.7 meV per atom
D(E_F)   21.62 states/eV per cell
E   -55.83 eV per cell